This record from OQMD via LeMat-Bulk describes a geometry-optimized SrCdAs2Pd structure. The functional is GGA-PBE.

CIF file:
```
data_SrCdAs2Pd
_chemical_formula_sum 'Sr2 Cd2 As4 Pd2'
_cell_length_a 4.5532
_cell_length_b 4.5532
_cell_length_c 10.9314
_cell_angle_alpha 90.00
_cell_angle_beta 90.00
_cell_angle_gamma 90.00
_symmetry_space_group_name_H-M 'P 1'
_symmetry_Int_Tables_number 1
loop_
_symmetry_equiv_pos_as_xyz
'x,y,z'
loop_
_atom_site_label
_atom_site_type_symbol
_atom_site_fract_x
_atom_site_fract_y
_atom_site_fract_z
As1 As 0.5000 0.0000 0.1561
As2 As 0.0000 0.5000 0.8439
As3 As 0.0000 0.0000 0.5000
As4 As 0.5000 0.5000 0.5000
Sr1 Sr 0.0000 0.5000 0.2791
Sr2 Sr 0.5000 0.0000 0.7209
Cd1 Cd 0.0000 0.0000 0.0000
Cd2 Cd 0.5000 0.5000 0.0000
Pd1 Pd 0.5000 0.0000 0.3891
Pd2 Pd 0.0000 0.5000 0.6109
```

Computed properties:
**Symmetry**: No. 129
**Calculated density**: 6.69 g cm⁻³
**V**: 226.62 Å³ per cell
**DFT total energy**: -40.8 eV/cell

This record from OQMD via LeMat-Bulk describes a geometry-optimized ZnCdAs4Pd2 structure. The functional is GGA-PBE.

CIF file:
```
data_ZnCdAs4Pd2
_chemical_formula_sum 'Zn1 Cd1 As4 Pd2'
_cell_length_a 7.1038
_cell_length_b 7.1038
_cell_length_c 7.1038
_cell_angle_alpha 132.15
_cell_angle_beta 132.15
_cell_angle_gamma 69.99
_symmetry_space_group_name_H-M 'P 1'
_symmetry_Int_Tables_number 1
loop_
_symmetry_equiv_pos_as_xyz
'x,y,z'
loop_
_atom_site_label
_atom_site_type_symbol
_atom_site_fract_x
_atom_site_fract_y
_atom_site_fract_z
As1 As 0.4130 0.4030 0.5474
As2 As 0.5970 0.1444 0.0100
As3 As 0.1344 0.5870 0.9900
As4 As 0.8556 0.8656 0.4526
Cd1 Cd 0.0000 0.0000 0.0000
Zn1 Zn 0.2500 0.7500 0.5000
Pd1 Pd 0.5000 0.5000 0.0000
Pd2 Pd 0.7500 0.2500 0.5000
```

Computed properties:
**Symmetry**: No. 82
**Calculated density**: 5.93 g cm⁻³
**V**: 193.19 Å³ per cell
**DFT total energy**: -30.8 eV/cell

This record from OQMD via LeMat-Bulk describes a geometry-optimized PrCdAs structure. The functional is GGA-PBE.

CIF file:
```
data_PrCdAs
_chemical_formula_sum 'Pr1 Cd1 As1'
_cell_length_a 4.9124
_cell_length_b 4.9124
_cell_length_c 4.9124
_cell_angle_alpha 60.00
_cell_angle_beta 60.00
_cell_angle_gamma 60.00
_symmetry_space_group_name_H-M 'P 1'
_symmetry_Int_Tables_number 1
loop_
_symmetry_equiv_pos_as_xyz
'x,y,z'
loop_
_atom_site_label
_atom_site_type_symbol
_atom_site_fract_x
_atom_site_fract_y
_atom_site_fract_z
Cd1 Cd 0.0000 0.0000 0.0000
As1 As 0.2500 0.2500 0.2500
Pr1 Pr 0.7500 0.7500 0.7500
```

Computed properties:
**Symmetry**: No. 216
**Calculated density**: 6.50 g cm⁻³
**V**: 83.82 Å³ per cell
**Spin magnetization**: 0.01 μB per formula unit
**DFT total energy**: -11.1 eV/cell
**Polymorph energy (0 for the lowest one)**: 177 meV per atom

Among the records above, which one has the highest DFT total energy? PrCdAs

V of number 1 (SrCdAs2Pd)? 226.62 Å³ per cell

Which of these has the lowest V? PrCdAs

Look up the calculated density of the second one. 5.93 g cm⁻³